Entry 1:
DFT (PBE-GGA) results for KLaEu2 after structural relaxation.

POSCAR file:
```
KLaEu2
1.0
1.938 1.119 14.240
-1.938 1.119 14.240
0.000 -2.237 14.240
K La Eu
1 1 2
direct
0.000 0.000 0.000
0.500 0.500 0.500
0.094 0.094 0.094
0.906 0.906 0.906
```

Computed properties:
The value obtained for the volume is 46.30 Å³/atom. The energy above the most stable polymorph in this dataset is 24 meV/atom. Its space group is No. 166.

Entry 2:
DFT (PBE-GGA) results for KLaEu2 after structural relaxation.

POSCAR file:
```
KLaEu2
1.0
3.870 0.000 0.000
0.000 3.870 0.000
0.000 0.000 12.418
K La Eu
1 1 2
direct
0.000 0.000 0.000
0.000 0.000 0.500
0.500 0.500 0.285
0.500 0.500 0.715
```

Computed properties:
The value obtained for the volume is 46.49 Å³/atom. The energy above the most stable polymorph in this dataset is 0 meV/atom. Its space group is No. 123.

Entry 3:
DFT (PBE-GGA) results for KLi4Eu after structural relaxation.

POSCAR file:
```
KLi4Eu
1.0
0.000 4.573 4.573
4.573 0.000 4.573
4.573 4.573 0.000
K Li Eu
1 4 1
direct
0.000 0.000 0.000
0.129 0.624 0.624
0.624 0.129 0.624
0.624 0.624 0.129
0.624 0.624 0.624
0.250 0.250 0.250
```

Computed properties:
The value obtained for the volume is 31.88 Å³/atom. The total energy is -3.055 eV per atom. Its space group is No. 216.

Total magnetic moment for the records above, in order: 3.91, 3.81, 1.29 μB/atom